(1)
Compound: InSiCBr2
Source: the Alexandria database
Functional: PBE
Structure: relaxed

Cell: 4.906 4.906 4.525 Å, 90.00 90.00 90.00°
Fractional coordinates of all 5 atoms:
1 In 0.000 0.000 0.000
2 Si 0.500 0.500 0.000
3 C 0.000 0.000 0.500
4 Br 0.000 0.500 0.500
5 Br 0.500 0.000 0.500

Summary:
Space group = P4/mmm
E_form (uncorrected) = 27.4 kcal/mol of atoms
M_tot = 0.0 Bohr magnetons per cell

(2)
Compound: InSiC2Br
Source: the Alexandria database
Functional: PBE
Structure: relaxed

Cell: 4.034 4.034 5.778 Å, 90.00 90.00 90.00°
Fractional coordinates of all 5 atoms:
1 In 0.000 0.000 0.000
2 Si 0.500 0.500 0.000
3 C 0.000 0.500 0.500
4 C 0.500 0.000 0.500
5 Br 0.000 0.000 0.500

Summary:
Space group = P4/mmm
E_form (uncorrected) = 63.8 kcal/mol of atoms
M_tot = 0.4 Bohr magnetons per cell

(3)
Compound: TaInC2Br
Source: the Alexandria database
Functional: PBE
Structure: relaxed

Cell: 4.285 4.285 5.589 Å, 90.00 90.00 90.00°
Fractional coordinates of all 5 atoms:
1 Ta 0.000 0.000 0.000
2 In 0.500 0.500 0.500
3 C 0.000 0.500 0.500
4 C 0.500 0.000 0.500
5 Br 0.500 0.500 0.000

Summary:
Space group = P4/mmm
E_form (uncorrected) = 60.9 kcal/mol of atoms
M_tot = 1.6 Bohr magnetons per cell

| no. | DOS(E_F) (states/eV per atom) |
| --- | --- |
| 1 | 0.60 |
| 2 | 0.51 |
| 3 | 1.00 |